LiTbPb3 after structural relaxation. Source: Alexandria via LeMat-Bulk, functional GGA-PBE.

Properties
Calculated formation energy = -0.86 eV/f.u.
Magnetization = 0.0 μB per formula unit
Total DFT energy (no corrections) = -3.707 eV/atom

Cell lengths 7.0787, 7.0787, 6.1926 Å; angles 90.00, 90.00, 120.00 degrees
Space group P6_3/mmc (No. 194)
One atom of each set of equivalent atoms:
1 Li 0.0000 0.0000 0.0000 x2
2 Tb 0.3333 0.6667 0.2500 x2
3 Pb 0.1869 0.3738 0.7500 x6

***

Li2TbPb2 after structural relaxation. Source: Alexandria via LeMat-Bulk, functional GGA-PBE.

Properties
Calculated formation energy = -1.72 eV/f.u.
Magnetization = 0.2 μB per formula unit
Total DFT energy (no corrections) = -3.518 eV/atom

Cell lengths 8.441, 8.441, 3.242 Å; angles 90.00, 90.00, 90.00 degrees
Space group P4/mbm (No. 127)
One atom of each set of equivalent atoms:
1 Li 0.114 0.386 0.000 x4
2 Tb 0.000 0.000 0.000 x2
3 Pb 0.179 0.679 0.500 x4

***

Li2Tb3Pb4 after structural relaxation. Source: Alexandria via LeMat-Bulk, functional GGA-PBE.

Properties
Calculated formation energy = -3.87 eV/f.u.
Magnetization = 0.0 μB per formula unit
Total DFT energy (no corrections) = -4.046 eV/atom

Cell lengths 11.728, 4.650, 8.982 Å; angles 90.00, 108.69, 90.00 degrees
Space group C2/m (No. 12)
One atom of each set of equivalent atoms:
1 Li 0.194 0.000 0.378 x4
2 Tb 0.000 0.500 0.000 x2
3 Tb 0.127 0.000 0.693 x4
4 Pb 0.078 0.500 0.383 x4
5 Pb 0.200 0.000 0.081 x4

***

LiTbPb2 after structural relaxation. Source: Alexandria via LeMat-Bulk, functional GGA-PBE.

Properties
Calculated formation energy = -1.38 eV/f.u.
Magnetization = 0.0 μB per formula unit
Total DFT energy (no corrections) = -3.834 eV/atom

Cell lengths 3.605, 3.605, 7.864 Å; angles 90.00, 90.00, 90.00 degrees
Space group P4/mmm (No. 123)
One atom of each set of equivalent atoms:
1 Li 0.000 0.000 0.000 x1
2 Tb 0.000 0.000 0.500 x1
3 Pb 0.500 0.500 0.222 x2

***

LiTb3Pb5 after structural relaxation. Source: Alexandria via LeMat-Bulk, functional GGA-PBE.

Properties
Calculated formation energy = -3.24 eV/f.u.
Magnetization = 0.0 μB per formula unit
Total DFT energy (no corrections) = -4.176 eV/atom

Cell lengths 9.3823, 9.3823, 6.4793 Å; angles 90.00, 90.00, 120.00 degrees
Space group P6_3/mcm (No. 193)
One atom of each set of equivalent atoms:
1 Li 0.0000 0.0000 0.0000 x2
2 Tb 0.0000 0.3823 0.2500 x6
3 Pb 0.0000 0.2689 0.7500 x6
4 Pb 0.3333 0.6667 0.0000 x4

***

Li4Tb3Pb4 after structural relaxation. Source: Alexandria via LeMat-Bulk, functional GGA-PBE.

Properties
Calculated formation energy = -5.20 eV/f.u.
Magnetization = 0.0 μB per formula unit
Total DFT energy (no corrections) = -3.780 eV/atom

Cell lengths 4.665, 7.264, 15.279 Å; angles 90.00, 90.00, 90.00 degrees
Space group Immm (No. 71)
One atom of each set of equivalent atoms:
1 Li 0.000 0.190 0.174 x8
2 Tb 0.000 0.000 0.374 x4
3 Tb 0.000 0.500 0.500 x2
4 Pb 0.000 0.291 0.000 x4
5 Pb 0.000 0.500 0.285 x4